Below is an optimized crystal structure of NpCrNiO6, with properties calculated at the GGA+U level.

Properties
- crystal system = trigonal
- total energy (eV per atom) = -7.826

abc: 5.158 5.158 8.978
angles: 90.00 90.00 120.00
Positions (direct):
Np  0.333  0.667  0.250
Np  0.667  0.333  0.750
Cr  0.000  0.000  0.000
Cr  0.000  0.000  0.500
Ni  0.333  0.667  0.750
Ni  0.667  0.333  0.250
O  0.006  0.332  0.127
O  0.006  0.674  0.373
O  0.326  0.332  0.373
O  0.326  0.994  0.127
O  0.332  0.006  0.627
O  0.332  0.326  0.873
O  0.668  0.674  0.127
O  0.668  0.994  0.373
O  0.674  0.006  0.873
O  0.674  0.668  0.627
O  0.994  0.326  0.627
O  0.994  0.668  0.873